Record 1
PBE-GGA K2TePb, relaxed; formation energy without anion corrections = -0.454 eV per atom; polymorph energy (0 for the lowest one) = 28 meV per atom
1.0
5.030 0.000 0.000
0.000 5.043 0.000
0.000 0.000 5.488
Pb K Te
1 2 1
direct
0.500 0.000 0.500 Pb
0.500 0.500 0.000 K
0.000 0.000 0.000 K
0.000 0.500 0.500 Te

Record 2
PBE-GGA KTePb, relaxed; formation energy without anion corrections = -0.421 eV per atom; polymorph energy (0 for the lowest one) = 59 meV per atom
1.0
-1.586 3.418 -5.796
0.352 -0.167 -6.906
-3.657 -1.544 -1.445
K Pb Te
1 1 1
direct
0.006 0.006 0.994 K
0.296 0.296 0.704 Pb
0.698 0.698 0.302 Te

Record 3
PBE-GGA K2TePb, relaxed; formation energy without anion corrections = -0.287 eV per atom; polymorph energy (0 for the lowest one) = 195 meV per atom
1.0
-1.569 -0.815 5.667
-5.742 -0.260 1.482
-2.395 -5.157 1.704
K Pb Te
2 1 1
direct
0.750 0.750 0.750 K
0.250 0.250 0.250 K
0.500 0.500 0.500 Pb
0.000 0.000 0.000 Te

Record 4
PBE-GGA KTePb2, relaxed; formation energy without anion corrections = -0.252 eV per atom
1.0
4.851 0.000 0.000
0.000 4.861 0.000
0.000 0.000 5.547
Pb Te K
2 1 1
direct
0.000 0.000 0.000 Pb
0.500 0.500 0.000 Pb
0.500 0.000 0.500 Te
0.000 0.500 0.500 K